--- one ---
The following is a DFT calculation (PBE) of an optimized crystal structure of Cr2GaAs.

Mass density, g/cm³: 7.46
Symmetry: No. 225
Total magnetic moment, μB/cell: 3.801
V, Å³/f.u.: 55.3

a = 4.277 Å, b = 4.277 Å, c = 4.277 Å
α = 60.00°, β = 60.00°, γ = 60.00°
Each line ends with the local moment (μB).
Element x y z (fractional)
Cr1 0.250 0.250 0.250  1.83
Cr2 0.750 0.750 0.750  1.83
As1 0.500 0.500 0.500  -0.08
Ga1 0.000 0.000 0.000  -0.02

***

--- two ---
The following is a DFT calculation (PBE) of an optimized crystal structure of Cr2GaAs.

Mass density, g/cm³: 6.44
Symmetry: No. 122
Total magnetic moment, μB/cell: 9.587
V, Å³/f.u.: 64.1

a = 6.753 Å, b = 6.753 Å, c = 5.541 Å
α = 52.45°, β = 52.45°, γ = 90.00°
Each line ends with the local moment (μB).
Element x y z (fractional)
Ga1 0.250 0.750 0.500  -0.12
Ga2 0.500 0.500 0.000  -0.12
Cr1 0.644 0.125 0.250  2.43
Cr2 0.875 0.894 0.750  2.43
Cr3 0.375 0.356 0.750  2.43
Cr4 0.106 0.625 0.250  2.43
As1 0.000 0.000 0.000  -0.13
As2 0.750 0.250 0.500  -0.13

***

Relative energy of each structure, in eV/atom: one 0.000; two 0.203.